Record 1
! NaZrAl GGA-PBE relaxed; values from VASP
! Total magnetic moment: 0.0 μB per formula unit
! E_tot: -11.01 eV per cell
&SYSTEM
  ibrav = 0, nat = 3, ntyp = 3
/
ATOMIC_SPECIES
Na 22.99 Na.upf
Zr 91.22 Zr.upf
Al 26.98 Al.upf
CELL_PARAMETERS angstrom
0.000 3.247 3.247
3.247 0.000 3.247
3.247 3.247 0.000
ATOMIC_POSITIONS crystal
Na 0.000 0.000 0.000
Zr 0.250 0.250 0.250
Al 0.750 0.750 0.750

---

Record 2
! Er2AgPd GGA-PBE relaxed; values from VASP
! Total magnetic moment: 0.0 μB per formula unit
! Energy of formation from the pure elements: -60.7 kJ/mol of atoms
! E_tot: -39.28 eV per cell
&SYSTEM
  ibrav = 0, nat = 8, ntyp = 3
/
ATOMIC_SPECIES
Er 167.26 Er.upf
Ag 107.87 Ag.upf
Pd 106.42 Pd.upf
CELL_PARAMETERS angstrom
4.637 0.000 0.000
0.000 5.532 0.000
0.000 0.000 7.014
ATOMIC_POSITIONS crystal
Er 0.000 0.093 0.000
Er 0.000 0.907 0.500
Er 0.500 0.385 0.369
Er 0.500 0.615 0.869
Ag 0.000 0.409 0.651
Ag 0.000 0.591 0.151
Pd 0.500 0.103 0.727
Pd 0.500 0.897 0.227

---

Record 3
! ErScBi GGA-PBE relaxed; values from VASP
! Total magnetic moment: 1.5 μB per formula unit
! E_tot: -15.59 eV per cell
&SYSTEM
  ibrav = 0, nat = 3, ntyp = 3
/
ATOMIC_SPECIES
Er 167.26 Er.upf
Sc 44.96 Sc.upf
Bi 208.98 Bi.upf
CELL_PARAMETERS angstrom
0.000 3.548 3.548
3.548 0.000 3.548
3.548 3.548 0.000
ATOMIC_POSITIONS crystal
Er 0.000 0.000 0.000
Sc 0.500 0.500 0.500
Bi 0.250 0.250 0.250

---

Record 4
! Tc3Br2 GGA-PBE relaxed; values from VASP
! Total magnetic moment: 0.7 μB per formula unit
! E_tot: -56.77 eV per cell
&SYSTEM
  ibrav = 0, nat = 10, ntyp = 2
/
ATOMIC_SPECIES
Tc 98.00 Tc.upf
Br 79.90 Br.upf
CELL_PARAMETERS angstrom
3.307 1.910 4.460
-3.307 1.910 4.460
0.000 -3.819 4.460
ATOMIC_POSITIONS crystal
Tc 0.011 0.750 0.489
Tc 0.250 0.511 0.989
Tc 0.489 0.011 0.750
Tc 0.511 0.989 0.250
Tc 0.750 0.489 0.011
Tc 0.989 0.250 0.511
Br 0.111 0.111 0.111
Br 0.389 0.389 0.389
Br 0.611 0.611 0.611
Br 0.889 0.889 0.889

---

What is the formula in the first record?
NaZrAl